# 1
The following is a DFT calculation (GGA-PBE) of crystalline TbTm14Sc at its relaxed geometry.

Lattice parameters (Å, degrees): 6.9509 6.9509 9.8155 90.00 90.00 90.00
Fractional positions:
Tb: 0.8749 0.1251 0.0000
Tm: 0.8750 0.6251 0.0000
Tm: 0.8750 0.6249 0.5000
Tm: 0.1266 0.3766 0.7514
Tm: 0.3749 0.6251 0.5000
Tm: 0.3751 0.1250 0.5000
Tm: 0.1265 0.8735 0.2487
Tm: 0.6234 0.8734 0.2486
Tm: 0.6234 0.3766 0.7512
Tm: 0.1266 0.3766 0.2486
Tm: 0.6234 0.3766 0.2488
Tm: 0.8751 0.1249 0.5000
Tm: 0.1265 0.8735 0.7513
Tm: 0.3749 0.1250 0.0000
Tm: 0.6234 0.8734 0.7514
Sc: 0.3751 0.6249 0.0000

Properties
DFT formation energy ... 0.030 eV/atom
Symmetry ... P4/mmm (123)

=====

# 2
The following is a DFT calculation (GGA-PBE) of crystalline ZrAgPt6 at its relaxed geometry.

Lattice parameters (Å, degrees): 6.9745 6.9745 11.4046 90.00 90.00 109.54
Fractional positions:
Pt: 0.8765 0.6261 0.1255
Pt: 0.2484 0.7516 0.2516
Pt: 0.7516 0.2484 0.7484
Pt: 0.8765 0.6261 0.8745
Pt: 0.1241 0.3754 0.3755
Pt: 0.5000 0.5000 0.0000
Pt: 0.6246 0.8759 0.6245
Pt: 0.2484 0.7516 0.7484
Pt: 0.3754 0.1241 0.3755
Pt: 0.3754 0.1241 0.6245
Pt: 0.0000 0.0000 0.5000
Pt: 0.6246 0.8759 0.3755
Pt: 0.1235 0.3739 0.8745
Pt: 0.0000 0.0000 0.0000
Pt: 0.6261 0.8765 0.1255
Pt: 0.1241 0.3754 0.6245
Pt: 0.1235 0.3739 0.1255
Pt: 0.3739 0.1235 0.8745
Pt: 0.5000 0.5000 0.5000
Pt: 0.3739 0.1235 0.1255
Pt: 0.8759 0.6246 0.3755
Pt: 0.6261 0.8765 0.8745
Pt: 0.7516 0.2484 0.2516
Pt: 0.8759 0.6246 0.6245
Zr: 0.7525 0.2475 0.5000
Zr: 0.0000 0.0000 0.7539
Zr: 0.2475 0.7525 0.5000
Zr: 0.0000 0.0000 0.2461
Ag: 0.5000 0.5000 0.2474
Ag: 0.5000 0.5000 0.7526
Ag: 0.7492 0.2508 0.0000
Ag: 0.2508 0.7492 0.0000

Properties
DFT formation energy ... -0.526 eV/atom
Symmetry ... Cmmm (65)

=====

# 3
The following is a DFT calculation (GGA-PBE) of crystalline TbTm4Al at its relaxed geometry.

Lattice parameters (Å, degrees): 5.2554 10.8139 6.4743 90.00 113.95 90.00
Fractional positions:
Tb: 0.3195 0.2317 0.6389
Tb: 0.6805 0.7317 0.3611
Tm: 0.4739 0.9447 0.9479
Tm: 0.1820 0.9465 0.3640
Tm: 0.8180 0.4465 0.6360
Tm: 0.5261 0.4447 0.0521
Tm: 0.3215 0.6612 0.6431
Tm: 0.0016 0.1990 0.0031
Tm: 0.6785 0.1612 0.3569
Tm: 0.9984 0.6990 0.9969
Al: 0.8486 0.9503 0.6971
Al: 0.1514 0.4503 0.3029

Properties
Relative energy among the computed polymorphs ... 2.8 kJ per mole of atoms
DFT formation energy ... -0.095 eV/atom
Symmetry ... Cmc2_1 (36)

=====

# 4
The following is a DFT calculation (GGA-PBE) of crystalline KBa2Mo at its relaxed geometry.

Lattice parameters (Å, degrees): 6.2472 6.2472 6.2472 60.00 60.00 60.00
Each line ends with the local moment (μB).
Fractional positions:
Ba: 0.2500 0.2500 0.2500  -0.13
Ba: 0.0000 0.0000 0.0000  -0.06
K: 0.5000 0.5000 0.5000  -0.01
Mo: 0.7500 0.7500 0.7500  3.25

Properties
Relative energy among the computed polymorphs ... 28.0 kJ per mole of atoms
DFT formation energy ... 1.075 eV/atom
Symmetry ... F-43m (216)

=====

# 5
The following is a DFT calculation (GGA-PBE) of crystalline TlMoBr3 at its relaxed geometry.

Lattice parameters (Å, degrees): 3.6272 9.7557 9.5075 85.93 101.26 100.94
Each line ends with the local moment (μB).
Fractional positions:
Mo: 0.9870 0.5143 0.6361  0.41
Mo: 0.9700 0.3317 0.7852  0.41
Br: 0.5998 0.3936 0.9771  0.01
Br: 0.6249 0.6781 0.7424  0.01
Br: 0.9331 0.0161 0.0323  0.00
Br: 0.0215 0.8298 0.3897  0.00
Br: 0.3572 0.4523 0.4442  0.01
Br: 0.3321 0.1678 0.6790  0.01
Tl: 0.3443 0.7526 0.1222  0.00
Tl: 0.6101 0.0934 0.2997  0.00

Properties
Formation energy (no corrections) ... -533.8 meV per atom
Relative energy among the computed polymorphs ... 0.0 kJ per mole of atoms
Symmetry ... P1 (1)

=====

# 6
The following is a DFT calculation (GGA-PBE) of crystalline ZnInPb2 at its relaxed geometry.

Lattice parameters (Å, degrees): 3.4390 4.2716 7.2969 90.00 90.00 90.00
Fractional positions:
Pb: 0.5000 0.5000 0.2887
Pb: 0.0000 0.0000 0.9740
In: 0.5000 0.5000 0.7235
Zn: 0.0000 0.0000 0.5138

Properties
DFT formation energy ... 0.098 eV/atom
Symmetry ... Pmm2 (25)

=====

# 7
The following is a DFT calculation (GGA-PBE) of crystalline Ce2PrTm at its relaxed geometry.

Lattice parameters (Å, degrees): 3.5123 3.5123 11.8041 81.44 81.44 60.00
Each line ends with the local moment (μB).
Fractional positions:
Tm: 0.4993 0.4993 0.5022  0.07
Pr: 0.6682 0.6682 0.9954  0.01
Ce: 0.2468 0.2468 0.2595  0.76
Ce: 0.0857 0.0857 0.7429  0.51

Properties
Relative energy among the computed polymorphs ... 0.0 kJ per mole of atoms
DFT formation energy ... 0.103 eV/atom
Symmetry ... R3m (160)

=====

# 8
The following is a DFT calculation (GGA-PBE) of crystalline La6YHo3 at its relaxed geometry.

Lattice parameters (Å, degrees): 5.6366 10.1222 13.7448 90.00 114.20 90.00
Fractional positions:
Y: 0.5000 0.5000 0.5000
Y: 0.0000 0.0000 0.0000
La: 0.8287 0.6804 0.3288
La: 0.9821 0.3143 0.9821
La: 0.7794 0.5555 0.7797
La: 0.7206 0.0555 0.7203
La: 0.3287 0.8196 0.8288
La: 0.1713 0.3196 0.6712
La: 0.4821 0.1857 0.4821
La: 0.0179 0.6857 0.0179
La: 0.2206 0.4445 0.2203
La: 0.5179 0.8143 0.5179
La: 0.2794 0.9445 0.2797
La: 0.6713 0.1804 0.1712
Ho: 0.9028 0.3535 0.4029
Ho: 0.0000 0.0000 0.5000
Ho: 0.5000 0.5000 0.0000
Ho: 0.0972 0.6465 0.5971
Ho: 0.4028 0.1465 0.9029
Ho: 0.5972 0.8535 0.0971

Properties
Relative energy among the computed polymorphs ... 0.0 kJ per mole of atoms
DFT formation energy ... 0.187 eV/atom
Symmetry ... Pbam (55)

=====

| no. | Fermi-level density of states (states/eV/atom) |
| --- | --- |
| 1 | 1.289 |
| 2 | 0.909 |
| 3 | 0.977 |
| 4 | 1.199 |
| 5 | 0.199 |
| 6 | 0.434 |
| 7 | 2.619 |
| 8 | 1.471 |